{
  "formula": "SbRu3",
  "functional": "GGA-PBE",
  "state": "optimized geometry",
  "lattice": [[-2.2924, 5.1655, -0.4975], [-1.6152, -3.4305, 4.2199], [3.2050, 1.6714, 2.5854]],
  "species": ["Ru", "Ru", "Ru", "Ru", "Ru", "Sb", "Sb", "Ru"],
  "fractional_positions": [[0.3288, 0.1647, 0.7500], [0.1647, 0.3288, 0.2500], [0.8348, 0.1652, 0.7500], [0.6712, 0.8353, 0.2500], [0.1652, 0.8348, 0.2500], [0.3335, 0.6665, 0.7500], [0.6665, 0.3335, 0.2500], [0.8353, 0.6712, 0.7500]],
  "e_form_raw_ev_per_atom": 0.21,
  "e_tot_ev_per_atom": -7.7819,
  "m_tot_mub_per_atom": 0.2707,
  "vol_a3_per_atom": 15.48,
  "dos_at_fermi_per_ev_cell": 12.19,
  "space_group": "No. 63",
  "crystal_system": "orthorhombic"
}